(1)
SmTmNp2S4 | PBE-GGA | relaxed

E_tot	-8.1070	eV/atom
V	170.4	Å³/cell
formation energy from raw total energies	-1659	meV/atom

Unit cell a=3.924 b=6.830 c=6.748 alpha=109.63 beta=90.00 gamma=90.00
Positions (direct):
Sm (0.000, 0.000, 0.000)
Tm (0.500, 0.500, 0.000)
Np (0.500, 0.000, 0.500)
Np (0.000, 0.500, 0.500)
S (0.500, 0.259, 0.253)
S (0.500, 0.741, 0.747)
S (0.000, 0.256, 0.753)
S (0.000, 0.744, 0.247)

(2)
Sm2TmNpS4 | PBE-GGA | relaxed

E_tot	-7.2609	eV/atom
V	173.5	Å³/cell
formation energy from raw total energies	-1841	meV/atom

Unit cell a=3.930 b=6.821 c=6.855 alpha=109.24 beta=90.00 gamma=90.00
Positions (direct):
Sm (0.500, 0.000, 0.500)
Sm (0.000, 0.500, 0.500)
Tm (0.500, 0.500, 0.000)
Np (0.000, 0.000, 0.000)
S (0.500, 0.249, 0.239)
S (0.500, 0.751, 0.761)
S (0.000, 0.258, 0.762)
S (0.000, 0.742, 0.238)